one:
TcMoS3: relaxed, PBE-GGA.

Unit cell a=4.5380 b=4.5380 c=4.5380 alpha=90.00 beta=90.00 gamma=90.00
Last column: nearest neighbours and their distance in Å.
Space group Pm-3m (No. 221)
Asymmetric unit:
Tc 0.0000 0.0000 0.0000 x1  6 S 2.27
Mo 0.5000 0.5000 0.5000 x1  12 S 3.21
S 0.0000 0.0000 0.5000 x3  2 Tc 2.27

Output
Fermi-level density of states: 8.3 states/eV/cell
total magnetization: 0.00 μB/atom
calculated density: 5.16 g/cm³

=====

two:
TcMoS3: relaxed, PBE-GGA.

Unit cell a=4.6842 b=4.6842 c=4.6842 alpha=90.00 beta=90.00 gamma=90.00
Last column: nearest neighbours and their distance in Å.
Space group Pm-3m (No. 221)
Asymmetric unit:
Tc 0.0000 0.0000 0.0000 x1  12 S 3.31
Mo 0.5000 0.5000 0.5000 x1  6 S 2.34
S 0.0000 0.5000 0.5000 x3  2 Mo 2.34

Output
Fermi-level density of states: 4.1 states/eV/cell
total magnetization: 0.94 μB/atom
calculated density: 4.69 g/cm³

=====

The structure shown above that is most stable: two.